Entry 1:
# AcDy2

AcDy2 after structural relaxation (GGA-PBE, Alexandria).

Summary:
E_form: 0.060 eV per atom
Relative energy among the computed polymorphs: 5 meV/atom
DFT total energy: -4.377 eV/atom

abc: 3.727 3.727 15.373
angles: 90.00 90.00 90.00
Space group I4/mmm (No. 139)
Inequivalent atoms, fractional coordinates:
Ac  0.000  0.000  0.000 (multiplicity 2)
Dy  0.000  0.000  0.327 (multiplicity 4)

Entry 2:
# BeAlTl2Se4

BeAlTl2Se4 after structural relaxation (GGA-PBE, Alexandria).

Summary:
ΔE_f (raw): -4.283 eV per formula unit
DFT total energy: -3.803 eV/atom

abc: 9.811 8.860 6.949
angles: 90.00 134.90 90.00
Space group C2 (No. 5)
Inequivalent atoms, fractional coordinates:
Be  0.000  0.000  0.000 (multiplicity 2)
Al  0.000  0.750  0.500 (multiplicity 2)
Tl  0.000  0.251  0.500 (multiplicity 2)
Tl  0.000  0.501  0.000 (multiplicity 2)
Se  0.156  0.879  0.918 (multiplicity 4)
Se  0.238  0.119  0.393 (multiplicity 4)

Entry 3:
# Pm4PrTm

Pm4PrTm after structural relaxation (GGA-PBE, Alexandria).

Summary:
E_form: 0.111 eV per atom
Relative energy among the computed polymorphs: 0 meV/atom
DFT total energy: -4.598 eV/atom

abc: 11.321 5.936 6.081
angles: 90.00 90.25 90.00
Space group C2/m (No. 12)
Inequivalent atoms, fractional coordinates:
Pm  0.173  0.000  0.043 (multiplicity 4)
Pm  0.174  0.500  0.458 (multiplicity 4)
Pr  0.000  0.500  0.000 (multiplicity 2)
Tm  0.000  0.000  0.500 (multiplicity 2)

Entry 4:
# AlCr2TcC

AlCr2TcC after structural relaxation (GGA-PBE, Alexandria).

Summary:
E_form: -0.038 eV per atom
DFT total energy: -8.554 eV/atom

abc: 3.867 3.867 4.067
angles: 90.00 90.00 90.00
Space group P4/mmm (No. 123)
Inequivalent atoms, fractional coordinates:
Al  0.000  0.000  0.000 (multiplicity 1)
Cr  0.000  0.500  0.500 (multiplicity 2)
Tc  0.500  0.500  0.000 (multiplicity 1)
C  0.500  0.500  0.500 (multiplicity 1)

Entry 5:
# Ti8Ga2Ge3

Ti8Ga2Ge3 after structural relaxation (GGA-PBE, Alexandria).

Summary:
E_form: -0.192 eV per atom
DFT total energy: -6.582 eV/atom

abc: 8.604 12.793 4.224
angles: 90.00 90.00 90.00
Space group Cmmm (No. 65)
Inequivalent atoms, fractional coordinates:
Ti  0.000  0.122  0.000 (multiplicity 4)
Ti  0.000  0.369  0.000 (multiplicity 4)
Ti  0.245  0.371  0.500 (multiplicity 8)
Ga  0.000  0.240  0.500 (multiplicity 4)
Ge  0.000  0.500  0.500 (multiplicity 2)
Ge  0.239  0.000  0.000 (multiplicity 4)

Entry 6:
# Li2Sn2Pt

Li2Sn2Pt after structural relaxation (GGA-PBE, Alexandria).

Summary:
E_form: -0.186 eV per atom
DFT total energy: -3.760 eV/atom

abc: 3.556 3.556 14.903
angles: 90.00 90.00 90.00
Space group I4/mmm (No. 139)
Inequivalent atoms, fractional coordinates:
Li  0.000  0.500  0.250 (multiplicity 4)
Sn  0.000  0.000  0.100 (multiplicity 4)
Pt  0.000  0.000  0.500 (multiplicity 2)

Entry 7:
# La9In5Se21

La9In5Se21 after structural relaxation (GGA-PBE, Alexandria).

Summary:
ΔE_f (raw): -52.383 eV per formula unit
DFT total energy: -5.246 eV/atom

abc: 18.4933 18.4933 19.9371
angles: 90.00 90.00 120.00
Space group R3 (No. 146, hexagonal axes)
Inequivalent atoms, fractional coordinates:
La  0.0228  0.2008  0.0000 (multiplicity 9)
La  0.0239  0.1991  0.6569 (multiplicity 9)
La  0.0252  0.1983  0.3230 (multiplicity 9)
La  0.1556  0.6905  0.1648 (multiplicity 9)
La  0.1575  0.6852  0.4875 (multiplicity 9)
La  0.1605  0.6949  0.8278 (multiplicity 9)
In  0.0000  0.0000  0.1067 (multiplicity 3)
In  0.0000  0.0000  0.4121 (multiplicity 3)
In  0.0000  0.0000  0.6036 (multiplicity 3)
In  0.0000  0.0000  0.9156 (multiplicity 3)
In  0.9999  0.6698  0.9663 (multiplicity 9)
In  0.0055  0.3364  0.4663 (multiplicity 9)
Se  0.9996  0.3330  0.2618 (multiplicity 9)
Se  0.0000  0.6682  0.0953 (multiplicity 9)
Se  0.0095  0.1319  0.8534 (multiplicity 9)
Se  0.0102  0.5441  0.2417 (multiplicity 9)
Se  0.0131  0.1261  0.5141 (multiplicity 9)
Se  0.0166  0.1377  0.1728 (multiplicity 9)
Se  0.0189  0.5468  0.5795 (multiplicity 9)
Se  0.0223  0.5534  0.9112 (multiplicity 9)
Se  0.1257  0.1135  0.0174 (multiplicity 9)
Se  0.1342  0.1212  0.3514 (multiplicity 9)
Se  0.1343  0.3435  0.7456 (multiplicity 9)
Se  0.1346  0.3563  0.0788 (multiplicity 9)
Se  0.1362  0.1215  0.6705 (multiplicity 9)
Se  0.1390  0.3526  0.4082 (multiplicity 9)

Entry 8:
# SnCl

SnCl after structural relaxation (GGA-PBE, Alexandria).

Summary:
ΔE_f (raw): -0.757 eV per formula unit
DFT total energy: -3.303 eV/atom

abc: 6.951 9.771 19.647
angles: 90.00 90.00 90.00
Space group Fddd (No. 70, origin choice 2)
Inequivalent atoms, fractional coordinates:
Sn  0.125  0.125  0.018 (multiplicity 16)
Cl  0.116  0.375  0.375 (multiplicity 16)

Entry 9:
# CdSi2Os

CdSi2Os after structural relaxation (GGA-PBE, Alexandria).

Summary:
ΔE_f (raw): 2.373 eV per formula unit
DFT total energy: -5.155 eV/atom

abc: 5.658 8.532 3.112
angles: 90.00 120.25 90.00
Space group C2/m (No. 12)
Inequivalent atoms, fractional coordinates:
Cd  0.000  0.000  0.000 (multiplicity 2)
Si  0.250  0.250  0.000 (multiplicity 4)
Os  0.000  0.500  0.000 (multiplicity 2)

Entry 10:
# SrHf2I

SrHf2I after structural relaxation (GGA-PBE, Alexandria).

Summary:
ΔE_f (raw): 1.833 eV per formula unit
DFT total energy: -5.326 eV/atom

abc: 4.328 4.328 26.017
angles: 90.00 90.00 90.00
Space group I-42d (No. 122)
Inequivalent atoms, fractional coordinates:
Sr  0.000  0.000  0.000 (multiplicity 4)
Hf  0.247  0.250  0.125 (multiplicity 8)
I  0.000  0.000  0.500 (multiplicity 4)

Entry 11:
# Pm6Pr2Sm3Dy

Pm6Pr2Sm3Dy after structural relaxation (GGA-PBE, Alexandria).

Summary:
E_form: 0.013 eV per atom
DFT total energy: -4.722 eV/atom

abc: 6.318 10.939 12.103
angles: 90.00 100.06 90.00
Space group C2/m (No. 12)
Inequivalent atoms, fractional coordinates:
Pm  0.249  0.000  0.249 (multiplicity 4)
Pm  0.250  0.166  0.751 (multiplicity 8)
Pr  0.000  0.333  0.500 (multiplicity 4)
Sm  0.000  0.166  0.000 (multiplicity 4)
Sm  0.000  0.500  0.000 (multiplicity 2)
Dy  0.000  0.000  0.500 (multiplicity 2)

Entry 12:
# Y2HgHI

Y2HgHI after structural relaxation (GGA-PBE, Alexandria).

Summary:
DFT total energy: -3.844 eV/atom

abc: 5.377 5.377 3.892
angles: 90.00 90.00 90.00
Space group P4/mmm (No. 123)
Inequivalent atoms, fractional coordinates:
Y  0.000  0.500  0.000 (multiplicity 2)
Hg  0.000  0.000  0.500 (multiplicity 1)
H  0.000  0.000  0.000 (multiplicity 1)
I  0.500  0.500  0.500 (multiplicity 1)

What did the ninth record say?
# CdSi2Os

CdSi2Os after structural relaxation (GGA-PBE, Alexandria).

Summary:
ΔE_f (raw): 2.373 eV per formula unit
DFT total energy: -5.155 eV/atom

abc: 5.658 8.532 3.112
angles: 90.00 120.25 90.00
Space group C2/m (No. 12)
Inequivalent atoms, fractional coordinates:
Cd  0.000  0.000  0.000 (multiplicity 2)
Si  0.250  0.250  0.000 (multiplicity 4)
Os  0.000  0.500  0.000 (multiplicity 2)

Question: DFT total energy of number 5 (Ti8Ga2Ge3)?
Answer: -6.582 eV/atom

Question: Which value of DFT total energy does entry 11 give?
Answer: -4.722 eV/atom